(1)
# ZrAl2Te | Alexandria via LeMat-Bulk | PBE-GGA | relaxed
# - E (eV/cell) = -19.63
# - N(E_F) (states/eV/f.u.) = 1.96
data_ZrAl2Te
_cell_length_a 3.8703
_cell_length_b 4.3772
_cell_length_c 4.8719
_cell_angle_alpha 90.00
_cell_angle_beta 90.00
_cell_angle_gamma 90.00
_symmetry_space_group_name_H-M 'P 1'
_symmetry_Int_Tables_number 1
loop_
_symmetry_equiv_pos_as_xyz
'x,y,z'
loop_
_atom_site_label
_atom_site_fract_x
_atom_site_fract_y
_atom_site_fract_z
Zr1 0.0000 0.0000 0.0000
Al1 0.0000 0.5000 0.5000
Al2 0.5000 0.5000 0.0000
Te1 0.5000 0.0000 0.5000

---

(2)
# Sc2Pd3Pb | Alexandria via LeMat-Bulk | PBE-GGA | relaxed
# - energy relative to the elements (meV per atom) = -395
# - N(E_F) (states/eV/f.u.) = 2.95
data_Sc2Pd3Pb
_cell_length_a 9.0600
_cell_length_b 9.0600
_cell_length_c 9.0600
_cell_angle_alpha 60.00
_cell_angle_beta 60.00
_cell_angle_gamma 60.00
_symmetry_space_group_name_H-M 'P 1'
_symmetry_Int_Tables_number 1
loop_
_symmetry_equiv_pos_as_xyz
'x,y,z'
loop_
_atom_site_label
_atom_site_fract_x
_atom_site_fract_y
_atom_site_fract_z
Sc1 0.2127 0.7624 0.7624
Sc2 0.2376 0.2376 0.2376
Sc3 0.2376 0.2376 0.7873
Sc4 0.2376 0.7873 0.2376
Sc5 0.7624 0.2127 0.7624
Sc6 0.7624 0.7624 0.2127
Sc7 0.7624 0.7624 0.7624
Sc8 0.7873 0.2376 0.2376
Pd1 0.1209 0.1209 0.6291
Pd2 0.1209 0.6291 0.1209
Pd3 0.1209 0.6291 0.6291
Pd4 0.3709 0.3709 0.8791
Pd5 0.3709 0.8791 0.3709
Pd6 0.3709 0.8791 0.8791
Pd7 0.6291 0.1209 0.1209
Pd8 0.6291 0.1209 0.6291
Pd9 0.6291 0.6291 0.1209
Pd10 0.8791 0.3709 0.3709
Pd11 0.8791 0.3709 0.8791
Pd12 0.8791 0.8791 0.3709
Pb1 0.0000 0.5000 0.5000
Pb2 0.5000 0.0000 0.5000
Pb3 0.5000 0.5000 0.0000
Pb4 0.5000 0.5000 0.5000

---

(3)
# Li2ReRu | Alexandria via LeMat-Bulk | PBE-GGA | relaxed
# - energy above the lowest structure with this stoichiometry (kJ per mole of atoms) = 10.84
# - energy relative to the elements (meV per atom) = 268
# - N(E_F) (states/eV/f.u.) = 3.24
data_Li2ReRu
_cell_length_a 2.5722
_cell_length_b 4.6703
_cell_length_c 4.7253
_cell_angle_alpha 90.00
_cell_angle_beta 95.01
_cell_angle_gamma 90.00
_symmetry_space_group_name_H-M 'P 1'
_symmetry_Int_Tables_number 1
loop_
_symmetry_equiv_pos_as_xyz
'x,y,z'
loop_
_atom_site_label
_atom_site_fract_x
_atom_site_fract_y
_atom_site_fract_z
Li1 0.2178 0.0000 0.2511
Li2 0.7822 0.0000 0.7489
Re1 0.5000 0.5000 0.0000
Ru1 0.0000 0.5000 0.5000

---

(4)
# CsTiGeS2 | Alexandria via LeMat-Bulk | PBE-GGA | relaxed
# - E (eV/cell) = -24.53
# - N(E_F) (states/eV/f.u.) = 3.14
data_CsTiGeS2
_cell_length_a 4.9072
_cell_length_b 4.9072
_cell_length_c 5.0945
_cell_angle_alpha 90.00
_cell_angle_beta 90.00
_cell_angle_gamma 90.00
_symmetry_space_group_name_H-M 'P 1'
_symmetry_Int_Tables_number 1
loop_
_symmetry_equiv_pos_as_xyz
'x,y,z'
loop_
_atom_site_label
_atom_site_fract_x
_atom_site_fract_y
_atom_site_fract_z
Cs1 0.0000 0.0000 0.0000
Ti1 0.5000 0.5000 0.5000
Ge1 0.5000 0.5000 0.0000
S1 0.0000 0.5000 0.5000
S2 0.5000 0.0000 0.5000

---

(5)
# K2SrBr | Alexandria via LeMat-Bulk | PBE-GGA | relaxed
# - energy above the lowest structure with this stoichiometry (kJ per mole of atoms) = 16.13
# - N(E_F) (states/eV/f.u.) = 2.58
data_K2SrBr
_cell_length_a 8.9115
_cell_length_b 8.9115
_cell_length_c 8.9115
_cell_angle_alpha 97.36
_cell_angle_beta 97.36
_cell_angle_gamma 138.06
_symmetry_space_group_name_H-M 'P 1'
_symmetry_Int_Tables_number 1
loop_
_symmetry_equiv_pos_as_xyz
'x,y,z'
loop_
_atom_site_label
_atom_site_fract_x
_atom_site_fract_y
_atom_site_fract_z
K1 0.0162 0.6250 0.8912
K2 0.3750 0.2662 0.3912
K3 0.7338 0.1250 0.1088
K4 0.8750 0.9838 0.6088
Sr1 0.2500 0.7500 0.5000
Sr2 0.5000 0.5000 0.0000
Br1 0.0000 0.0000 0.0000
Br2 0.7500 0.2500 0.5000

---

(6)
# Zn2AgSn | Alexandria via LeMat-Bulk | PBE-GGA | relaxed
# - energy relative to the elements (meV per atom) = 99
# - N(E_F) (states/eV/f.u.) = 1.23
data_Zn2AgSn
_cell_length_a 3.3089
_cell_length_b 3.3089
_cell_length_c 7.0029
_cell_angle_alpha 90.00
_cell_angle_beta 90.00
_cell_angle_gamma 90.00
_symmetry_space_group_name_H-M 'P 1'
_symmetry_Int_Tables_number 1
loop_
_symmetry_equiv_pos_as_xyz
'x,y,z'
loop_
_atom_site_label
_atom_site_fract_x
_atom_site_fract_y
_atom_site_fract_z
Zn1 0.0000 0.0000 0.2104
Zn2 0.0000 0.0000 0.7896
Ag1 0.5000 0.5000 0.0000
Sn1 0.5000 0.5000 0.5000